# 1
Material: ScHCl
Method: DFT, GGA-PBE
State: relaxed Values from VASP.

## Properties
**SG**: No. 59

Geometry as Quantum ESPRESSO input:
```
&SYSTEM
  ibrav = 0, nat = 6, ntyp = 3
/
ATOMIC_SPECIES
Sc 44.96 Sc.upf
H 1.01 H.upf
Cl 35.45 Cl.upf
CELL_PARAMETERS angstrom
3.383 0.000 0.000
0.000 3.545 0.000
0.000 0.000 9.161
ATOMIC_POSITIONS crystal
Sc 0.250 0.250 0.125
Sc 0.750 0.750 0.875
H 0.250 0.750 0.011
H 0.750 0.250 0.989
Cl 0.250 0.750 0.677
Cl 0.750 0.250 0.323
```

***

# 2
Material: Sc2H2Cl
Method: DFT, GGA-PBE
State: relaxed Values from VASP.

## Properties
**SG**: No. 139

Geometry as Quantum ESPRESSO input:
```
&SYSTEM
  ibrav = 0, nat = 5, ntyp = 3
/
ATOMIC_SPECIES
Sc 44.96 Sc.upf
H 1.01 H.upf
Cl 35.45 Cl.upf
CELL_PARAMETERS angstrom
-1.626 1.626 6.327
1.626 -1.626 6.327
1.626 1.626 -6.327
ATOMIC_POSITIONS crystal
Sc 0.157 0.157 0.000
Sc 0.843 0.843 0.000
H 0.250 0.750 0.500
H 0.750 0.250 0.500
Cl 0.500 0.500 0.000
```

***

Number 1: DFT total energy -5.01 eV/atom. Number 2: DFT total energy -4.95 eV/atom.